Entry 1:
Rb3RuF6: relaxed, PBE-GGA.

- DOS at the Fermi energy (states/eV per atom) = 0.655
- energy (eV/f.u.) = -46.388
- crystal system = monoclinic
- ΔE_f (raw) (meV per atom) = -2298
- magnetization (μB/atom) = 0.101

a b c (Å): 7.0202 7.0329 7.0216
angles (deg): 102.89 103.55 102.92
Positions (direct):
F: 0.9401 0.2118 0.2112
F: 0.2141 0.9426 0.2142
F: 0.0599 0.7882 0.7888
F: 0.7888 0.7879 0.0599
F: 0.2112 0.2121 0.9401
F: 0.7859 0.0574 0.7858
Ru: 0.0000 0.0000 0.0000
Rb: 0.0000 0.0000 0.5000
Rb: 0.5000 0.0000 0.0000
Rb: 0.0000 0.5000 0.0000

---

Entry 2:
Rb2RuF7: relaxed, PBE-GGA.

- DOS at the Fermi energy (states/eV per atom) = 0.555
- energy (eV/f.u.) = -44.986
- crystal system = cubic
- ΔE_f (raw) (meV per atom) = -2068
- magnetization (μB/atom) = 0.300

a b c (Å): 6.4868 6.4868 6.4884
angles (deg): 60.01 60.01 90.00
Positions (direct):
Ru: 0.0000 0.0000 0.0000
F: 0.5000 0.5000 0.0000
F: 0.7908 0.7908 0.4184
F: 0.2093 0.7907 0.0000
F: 0.7907 0.7907 0.0000
F: 0.2092 0.2092 0.5816
F: 0.2093 0.2093 0.0000
F: 0.7907 0.2093 0.0000
Rb: 0.7500 0.2500 0.5000
Rb: 0.2500 0.7500 0.5000

---

Entry 3:
Rb3RuF12: relaxed, PBE-GGA.

- DOS at the Fermi energy (states/eV per atom) = 0.848
- energy (eV/f.u.) = -60.512
- crystal system = monoclinic
- ΔE_f (raw) (meV per atom) = -1617
- magnetization (μB/atom) = 0.263

a b c (Å): 8.5185 8.5185 5.1665
angles (deg): 86.70 86.70 124.42
Positions (direct):
F: 0.0494 0.2025 0.2194
F: 0.2025 0.0494 0.2194
F: 0.9128 0.7603 0.2235
F: 0.0872 0.2397 0.7765
F: 0.3497 0.7100 0.6672
F: 0.7975 0.9506 0.7806
F: 0.6503 0.2900 0.3328
F: 0.7100 0.3497 0.6672
F: 0.2900 0.6503 0.3328
F: 0.9506 0.7975 0.7806
F: 0.2397 0.0872 0.7765
F: 0.7603 0.9128 0.2235
Rb: 0.5000 0.0000 0.0000
Rb: 0.0000 0.5000 0.0000
Rb: 0.5000 0.5000 0.5000
Ru: 0.0000 0.0000 0.0000

---

Entry 4:
RbRuF6: relaxed, PBE-GGA.

- energy (eV/f.u.) = -38.540
- crystal system = trigonal
- ΔE_f (raw) (meV per atom) = -2134
- magnetization (μB/atom) = 0.375

a b c (Å): 5.2456 5.2456 5.2456
angles (deg): 97.55 97.55 97.55
Positions (direct):
F: 0.2558 0.2558 0.9186
F: 0.2558 0.9186 0.2558
F: 0.7442 0.7442 0.0814
F: 0.9186 0.2558 0.2558
F: 0.7442 0.0814 0.7442
F: 0.0814 0.7442 0.7442
Ru: 0.0000 0.0000 0.0000
Rb: 0.5000 0.5000 0.5000

---

Entry 5:
Rb5Ru2F12: relaxed, PBE-GGA.

- DOS at the Fermi energy (states/eV per atom) = 0.247
- energy (eV/f.u.) = -89.303
- crystal system = triclinic
- ΔE_f (raw) (meV per atom) = -2287
- magnetization (μB/atom) = 0.158

a b c (Å): 7.3790 7.3788 8.9489
angles (deg): 98.20 92.67 65.33
Positions (direct):
Rb: 0.3368 0.7737 0.4687
Rb: 0.0033 0.4648 0.2769
Rb: 0.6632 0.2263 0.5313
Rb: 0.5000 0.0000 0.0000
Rb: 0.9967 0.5352 0.7231
F: 0.7273 0.5526 0.4960
F: 0.2727 0.4474 0.5040
F: 0.9332 0.9182 0.3142
F: 0.1880 0.8395 0.9080
F: 0.1093 0.2599 0.9641
F: 0.7343 0.3643 0.8472
F: 0.7825 0.9752 0.7873
F: 0.2657 0.6357 0.1529
F: 0.2175 0.0248 0.2127
F: 0.8907 0.7401 0.0359
F: 0.8120 0.1605 0.0920
F: 0.0668 0.0818 0.6858
Ru: 0.9485 0.1122 0.8834
Ru: 0.0515 0.8878 0.1166

---

Entry 6:
Rb2RuSF: relaxed, PBE-GGA.

- DOS at the Fermi energy (states/eV per atom) = 1.258
- energy (eV/f.u.) = -17.739
- crystal system = tetragonal
- ΔE_f (raw) (meV per atom) = -106
- magnetization (μB/atom) = 0.600

a b c (Å): 6.2440 4.0428 6.2440
angles (deg): 90.00 90.00 90.00
Positions (direct):
S: 0.5000 0.5000 0.5000
Rb: 0.5000 0.0000 0.0000
Rb: 0.0000 0.0000 0.5000
F: 0.0000 0.5000 0.0000
Ru: 0.0000 0.0000 0.0000